! Zr2CrCl PBE-GGA relaxed; values from VASP
! Magnetic moment in μB/f.u.: 0.4
! ΔE_f (raw) in eV per atom: -0.401
! ΔE to the lowest computed polymorph in eV per atom: 0.0000
! Crystal system: orthorhombic
&SYSTEM
  ibrav = 0, nat = 4, ntyp = 3
/
ATOMIC_SPECIES
Zr 91.22 Zr.upf
Cr 52.00 Cr.upf
Cl 35.45 Cl.upf
CELL_PARAMETERS angstrom
3.160 0.000 0.000
0.000 3.262 0.000
0.000 0.000 7.755
ATOMIC_POSITIONS angstrom
Zr 0.000 0.000 1.578
Zr 0.000 0.000 6.177
Cr 1.580 1.631 0.000
Cl 1.580 0.000 3.878

=====

! Re2MoRhN PBE-GGA relaxed; values from VASP
! Magnetic moment in μB/f.u.: 0.0
! ΔE_f (raw) in eV per atom: 0.058
! Crystal system: tetragonal
&SYSTEM
  ibrav = 0, nat = 5, ntyp = 4
/
ATOMIC_SPECIES
Re 186.21 Re.upf
Mo 95.94 Mo.upf
Rh 102.91 Rh.upf
N 14.01 N.upf
CELL_PARAMETERS angstrom
4.040 0.000 0.000
0.000 4.040 0.000
0.000 0.000 4.104
ATOMIC_POSITIONS angstrom
Re 0.000 2.020 0.000
Re 2.020 0.000 0.000
Mo 0.000 0.000 2.052
Rh 2.020 2.020 2.052
N 0.000 0.000 0.000

=====

! PaTl2BiS5 PBE-GGA relaxed; values from VASP
! Magnetic moment in μB/f.u.: 0.0
! ΔE_f (raw) in eV per atom: -0.793
! Crystal system: orthorhombic
&SYSTEM
  ibrav = 0, nat = 18, ntyp = 4
/
ATOMIC_SPECIES
Pa 231.04 Pa.upf
Tl 204.38 Tl.upf
Bi 208.98 Bi.upf
S 32.06 S.upf
CELL_PARAMETERS angstrom
2.092 -8.666 0.000
2.092 8.666 0.000
0.000 0.000 15.113
ATOMIC_POSITIONS angstrom
Pa 2.092 4.801 7.557
Pa 2.092 -4.801 0.000
Tl 2.092 7.208 2.229
Tl 2.092 6.286 11.680
Tl 2.092 -6.286 4.123
Tl 2.092 -7.208 9.786
Bi 2.092 0.519 13.916
Bi 2.092 -0.519 6.359
S 2.092 7.431 8.071
S 2.092 4.049 1.642
S 2.092 3.297 13.426
S 2.092 2.329 6.988
S 2.092 0.114 3.846
S 2.092 -0.114 11.403
S 2.092 -2.329 14.545
S 2.092 -3.297 5.869
S 2.092 -4.049 9.198
S 2.092 -7.431 0.514

=====

! SrMgInSn2 PBE-GGA relaxed; values from VASP
! Energy of formation in eV per atom: -0.349
! Magnetic moment in μB/f.u.: 0.0
! Crystal system: tetragonal
&SYSTEM
  ibrav = 0, nat = 5, ntyp = 4
/
ATOMIC_SPECIES
Sr 87.62 Sr.upf
Mg 24.30 Mg.upf
In 114.82 In.upf
Sn 118.71 Sn.upf
CELL_PARAMETERS angstrom
-2.310 2.310 6.909
2.310 -2.310 6.909
2.310 2.310 -6.909
ATOMIC_POSITIONS angstrom
Sr 0.000 0.000 0.000
Mg 2.310 0.000 3.454
In 0.000 2.310 3.454
Sn 0.000 0.000 5.387
Sn 0.000 0.000 8.431

=====

! VMo2Ru2 PBE-GGA relaxed; values from VASP
! Energy of formation in eV per atom: 0.232
! Magnetic moment in μB/f.u.: 0.0
! Crystal system: tetragonal
&SYSTEM
  ibrav = 0, nat = 10, ntyp = 3
/
ATOMIC_SPECIES
V 50.94 V.upf
Mo 95.94 Mo.upf
Ru 101.07 Ru.upf
CELL_PARAMETERS angstrom
7.350 0.000 0.000
0.000 7.350 0.000
0.000 0.000 2.871
ATOMIC_POSITIONS angstrom
V 0.000 0.000 0.000
V 3.675 3.675 0.000
Mo 1.238 2.437 1.436
Mo 2.437 6.112 1.436
Mo 4.913 1.238 1.436
Mo 6.112 4.913 1.436
Ru 0.969 4.644 0.000
Ru 2.706 0.969 0.000
Ru 4.644 6.381 0.000
Ru 6.381 2.706 0.000

=====

! SrZnSn2Rh PBE-GGA relaxed; values from VASP
! Energy of formation in eV per atom: -0.307
! Magnetic moment in μB/f.u.: 0.0
! Crystal system: tetragonal
&SYSTEM
  ibrav = 0, nat = 5, ntyp = 4
/
ATOMIC_SPECIES
Sr 87.62 Sr.upf
Zn 65.41 Zn.upf
Sn 118.71 Sn.upf
Rh 102.91 Rh.upf
CELL_PARAMETERS angstrom
5.166 0.000 0.000
0.000 5.166 0.000
0.000 0.000 4.920
ATOMIC_POSITIONS angstrom
Sr 0.000 0.000 0.000
Zn 2.583 2.583 0.000
Sn 0.000 2.583 2.460
Sn 2.583 0.000 2.460
Rh 2.583 2.583 2.460

=====

! La2NiPdN PBE-GGA relaxed; values from VASP
! Magnetic moment in μB/f.u.: 0.0
! ΔE_f (raw) in eV per atom: -0.828
! Crystal system: tetragonal
&SYSTEM
  ibrav = 0, nat = 5, ntyp = 4
/
ATOMIC_SPECIES
La 138.91 La.upf
Ni 58.69 Ni.upf
Pd 106.42 Pd.upf
N 14.01 N.upf
CELL_PARAMETERS angstrom
5.181 0.000 0.000
0.000 5.181 0.000
0.000 0.000 3.713
ATOMIC_POSITIONS angstrom
La 0.000 2.591 0.000
La 2.591 0.000 0.000
Ni 0.000 0.000 1.857
Pd 2.591 2.591 1.857
N 0.000 0.000 0.000

=====

! Tb8PmSm4 PBE-GGA relaxed; values from VASP
! Energy of formation in eV per atom: 0.506
! Magnetic moment in μB/f.u.: 1.2
! Crystal system: trigonal
&SYSTEM
  ibrav = 0, nat = 13, ntyp = 3
/
ATOMIC_SPECIES
Tb 158.93 Tb.upf
Pm 145.00 Pm.upf
Sm 150.36 Sm.upf
CELL_PARAMETERS angstrom
5.533 3.194 4.509
-5.533 3.194 4.509
0.000 -6.389 4.509
ATOMIC_POSITIONS angstrom
Tb 0.000 0.000 3.236
Tb 0.000 -3.330 5.586
Tb -2.884 1.665 5.586
Tb -2.884 -1.665 7.942
Tb 2.884 1.665 5.586
Tb 2.884 -1.665 7.942
Tb 0.000 3.330 7.942
Tb 0.000 0.000 10.291
Pm 0.000 0.000 6.764
Sm 0.000 0.000 0.000
Sm -2.766 -1.597 4.509
Sm -2.766 1.597 9.019
Sm 0.000 3.194 4.509

=====

! YBMo3 PBE-GGA relaxed; values from VASP
! Energy of formation in eV per atom: 3.397
! Magnetic moment in μB/f.u.: 0.0
! ΔE to the lowest computed polymorph in eV per atom: 3.1436
! Crystal system: cubic
&SYSTEM
  ibrav = 0, nat = 5, ntyp = 3
/
ATOMIC_SPECIES
Y 88.91 Y.upf
B 10.81 B.upf
Mo 95.94 Mo.upf
CELL_PARAMETERS angstrom
4.786 0.000 0.000
0.000 4.786 0.000
0.000 0.000 4.786
ATOMIC_POSITIONS angstrom
Y 0.000 0.000 0.000
B 2.393 2.393 2.393
Mo 0.000 0.000 2.393
Mo 0.000 2.393 0.000
Mo 2.393 0.000 0.000

=====

! RbSrTlCl2 PBE-GGA relaxed; values from VASP
! Magnetic moment in μB/f.u.: 0.0
! ΔE_f (raw) in eV per atom: -1.194
! Crystal system: tetragonal
&SYSTEM
  ibrav = 0, nat = 5, ntyp = 4
/
ATOMIC_SPECIES
Rb 85.47 Rb.upf
Sr 87.62 Sr.upf
Tl 204.38 Tl.upf
Cl 35.45 Cl.upf
CELL_PARAMETERS angstrom
5.672 0.000 0.000
0.000 5.672 0.000
0.000 0.000 6.868
ATOMIC_POSITIONS angstrom
Rb 0.000 0.000 0.000
Sr 2.836 2.836 3.434
Tl 2.836 2.836 0.000
Cl 0.000 2.836 3.434
Cl 2.836 0.000 3.434

=====

! BeZnSn PBE-GGA relaxed; values from VASP
! Energy of formation in eV per atom: 0.196
! Magnetic moment in μB/f.u.: 0.0
! Crystal system: trigonal
&SYSTEM
  ibrav = 0, nat = 6, ntyp = 3
/
ATOMIC_SPECIES
Be 9.01 Be.upf
Zn 65.41 Zn.upf
Sn 118.71 Sn.upf
CELL_PARAMETERS angstrom
3.841 0.000 0.000
-1.921 3.326 0.000
0.000 0.000 8.372
ATOMIC_POSITIONS angstrom
Be 0.000 0.000 0.000
Be 0.000 2.218 0.171
Zn 1.921 1.109 1.311
Zn 1.921 1.109 7.242
Sn 0.000 0.000 5.483
Sn 0.000 2.218 3.072

=====

! LaAs2W PBE-GGA relaxed; values from VASP
! Energy of formation in eV per atom: -0.430
! Magnetic moment in μB/f.u.: 0.7
! ΔE to the lowest computed polymorph in eV per atom: 0.0507
! Crystal system: monoclinic
&SYSTEM
  ibrav = 0, nat = 4, ntyp = 3
/
ATOMIC_SPECIES
La 138.91 La.upf
As 74.92 As.upf
W 183.84 W.upf
CELL_PARAMETERS angstrom
3.537 -1.901 0.000
3.537 1.901 0.000
-2.445 0.000 6.636
ATOMIC_POSITIONS angstrom
La 0.000 0.000 0.000
As 2.314 0.000 4.732
As 4.821 0.000 2.128
W 0.044 0.000 3.539